No. 1
A geometry-optimized Pr6Nd2DyTm structure. Source: the Alexandria database, functional PBE.

theoretical density = 6.91 g cm⁻³
ΔH_f (0 K) = 0.11 eV/atom
calculated volume = 35.2 Å³/atom

POSCAR file:
```
Pr6Nd2DyTm
1.0
-5.816 7.747 -1.908
-1.371 -3.874 -8.050
-4.959 -2.862 6.994
Pr Nd Dy Tm
12 4 2 2
Direct
0.054 0.121 0.756
0.446 0.244 0.879
0.946 0.879 0.244
0.554 0.756 0.121
0.309 0.989 0.429
0.191 0.571 0.011
0.691 0.011 0.571
0.809 0.429 0.989
0.118 0.707 0.497
0.382 0.503 0.293
0.882 0.293 0.503
0.618 0.497 0.707
0.457 0.803 0.704
0.043 0.296 0.197
0.543 0.197 0.296
0.957 0.704 0.803
0.250 0.979 0.021
0.750 0.021 0.979
0.250 0.410 0.590
0.750 0.590 0.410
```

=====

No. 2
A geometry-optimized DyAl10Re2 structure. Source: the Alexandria database, functional PBE.

theoretical density = 6.12 g cm⁻³
ΔH_f (0 K) = -0.34 eV/atom
calculated volume = 16.8 Å³/atom
energy relative to the lowest polymorph listed for this composition = 15.8 kJ/mol of formula units

POSCAR file:
```
DyAl10Re2
1.0
6.918 0.102 0.000
-0.924 6.857 0.000
0.000 0.000 9.194
Dy Al Re
2 20 4
Direct
0.870 0.130 0.750
0.130 0.870 0.250
0.408 0.141 0.750
0.592 0.859 0.250
0.859 0.592 0.750
0.141 0.408 0.250
0.529 0.789 0.750
0.471 0.211 0.250
0.211 0.471 0.750
0.789 0.529 0.250
0.850 0.150 0.404
0.150 0.850 0.904
0.850 0.150 0.096
0.150 0.850 0.596
0.624 0.376 0.964
0.376 0.624 0.464
0.624 0.376 0.536
0.376 0.624 0.036
0.774 0.774 0.000
0.226 0.226 0.500
0.226 0.226 0.000
0.774 0.774 0.500
0.500 0.000 0.000
0.500 0.000 0.500
0.000 0.500 0.500
0.000 0.500 0.000
```

=====

No. 3
A geometry-optimized NaEu2Mg structure. Source: the Alexandria database, functional PBE.

theoretical density = 3.96 g cm⁻³
ΔH_f (0 K) = 0.01 eV/atom
calculated volume = 36.8 Å³/atom
energy relative to the lowest polymorph listed for this composition = 0.0 kJ/mol of formula units

POSCAR file:
```
NaEu2Mg
1.0
-0.792 -3.991 0.423
2.373 -0.813 -3.231
6.960 -0.818 5.316
Eu Na Mg
2 1 1
Direct
0.000 0.000 0.778
0.000 0.000 0.222
0.500 0.500 0.500
0.500 0.500 0.000
```

=====

No. 4
A geometry-optimized CeSbAu2 structure. Source: the Alexandria database, functional PBE.

theoretical density = 11.69 g cm⁻³
calculated volume = 23.3 Å³/atom
energy relative to the elements, uncorrected = -0.53 eV/atom

POSCAR file:
```
CeSbAu2
1.0
4.592 0.000 0.000
0.000 4.504 0.000
0.000 0.000 4.504
Sb Au Ce
1 2 1
Direct
0.500 0.000 0.000
0.000 0.000 0.500
0.000 0.500 0.000
0.500 0.500 0.500
```

=====

No. 5
A geometry-optimized K2GaNiRu structure. Source: the Alexandria database, functional PBE.

theoretical density = 2.99 g cm⁻³
ΔH_f (0 K) = 1.26 eV/atom
calculated volume = 34.2 Å³/atom

POSCAR file:
```
K2GaNiRu
1.0
6.205 0.000 0.000
0.000 4.445 0.000
0.000 0.000 6.205
Ru K Ga Ni
1 2 1 1
Direct
0.500 0.500 0.500
0.000 0.000 0.500
0.500 0.000 0.000
0.000 0.000 0.000
0.000 0.500 0.000
```

=====

No. 6
A geometry-optimized NpMn2PN structure. Source: the Alexandria database, functional PBE.

theoretical density = 8.95 g cm⁻³
calculated volume = 14.5 Å³/atom
energy relative to the elements, uncorrected = -0.52 eV/atom

POSCAR file:
```
NpMn2PN
1.0
-0.938 1.537 -3.091
1.125 -2.892 -1.780
-5.184 -2.285 0.436
Np Mn P N
1 2 1 1
Direct
0.000 0.000 0.436
0.000 0.500 0.922
0.500 0.000 0.922
0.500 0.500 0.668
0.000 0.000 0.053
```

=====

No. 7
A geometry-optimized In2BiSe4 structure. Source: the Alexandria database, functional PBE.

theoretical density = 5.55 g cm⁻³
calculated volume = 32.2 Å³/atom
energy relative to the elements, uncorrected = -0.39 eV/atom
energy relative to the lowest polymorph listed for this composition = 22.4 kJ/mol of formula units

POSCAR file:
```
In2BiSe4
1.0
-0.666 -1.164 -6.533
4.630 -3.551 3.230
-5.839 -1.663 2.761
In Bi Se
2 1 4
Direct
0.250 0.750 0.500
0.750 0.250 0.500
0.500 0.500 0.000
0.323 0.174 0.497
0.826 0.323 0.150
0.174 0.677 0.850
0.677 0.826 0.503
```

=====

No. 8
A geometry-optimized CeZrScIn structure. Source: the Alexandria database, functional PBE.

theoretical density = 6.84 g cm⁻³
ΔH_f (0 K) = -0.07 eV/atom
calculated volume = 23.7 Å³/atom

POSCAR file:
```
CeZrScIn
1.0
5.121 0.000 0.000
2.560 4.435 0.000
2.560 1.478 4.181
Sc Zr Ce In
1 1 1 1
Direct
0.000 0.000 0.000
0.500 0.500 0.500
0.250 0.250 0.250
0.750 0.750 0.750
```

=====

No. 9
A geometry-optimized Hf2GaAu structure. Source: the Alexandria database, functional PBE.

theoretical density = 13.77 g cm⁻³
ΔH_f (0 K) = -0.44 eV/atom
calculated volume = 18.8 Å³/atom

POSCAR file:
```
Hf2GaAu
1.0
-2.456 1.666 0.742
-0.682 -1.994 2.218
4.443 4.244 5.182
Hf Au Ga
2 1 1
Direct
0.000 0.000 0.756
0.000 0.000 0.244
0.500 0.500 0.500
0.500 0.500 0.000
```

=====

No. 10
A geometry-optimized SrLa2Hg2 structure. Source: the Alexandria database, functional PBE.

theoretical density = 7.35 g cm⁻³
ΔH_f (0 K) = -0.28 eV/atom
calculated volume = 34.6 Å³/atom
energy relative to the lowest polymorph listed for this composition = 55.8 kJ/mol of formula units

POSCAR file:
```
SrLa2Hg2
1.0
4.843 0.000 0.000
0.000 4.843 0.000
2.421 2.421 7.381
Sr Hg La
1 2 2
Direct
0.000 0.000 0.000
0.403 0.403 0.195
0.597 0.597 0.805
0.750 0.250 0.500
0.250 0.750 0.500
```

=====

No. 11
A geometry-optimized Pr2MgTe structure. Source: the Alexandria database, functional PBE.

theoretical density = 5.80 g cm⁻³
calculated volume = 31.1 Å³/atom
energy relative to the elements, uncorrected = -0.67 eV/atom
energy relative to the lowest polymorph listed for this composition = 6.7 kJ/mol of formula units

POSCAR file:
```
Pr2MgTe
1.0
4.065 -0.648 -0.327
-1.018 7.917 -2.261
-2.168 -5.389 9.790
Pr Mg Te
4 2 2
Direct
0.120 0.972 0.799
0.840 0.895 0.314
0.589 0.365 0.343
0.870 0.442 0.828
0.718 0.934 0.032
0.992 0.404 0.110
0.405 0.834 0.506
0.305 0.504 0.636
```

=====

No. 12
A geometry-optimized Sr3HgSb2 structure. Source: the Alexandria database, functional PBE.

theoretical density = 4.96 g cm⁻³
calculated volume = 39.4 Å³/atom
energy relative to the elements, uncorrected = -0.80 eV/atom
energy relative to the lowest polymorph listed for this composition = 27.7 kJ/mol of formula units

POSCAR file:
```
Sr3HgSb2
1.0
6.574 0.000 0.000
0.000 9.670 0.002
-3.287 -2.419 7.443
Sr Hg Sb
6 2 4
Direct
0.578 0.250 0.000
0.422 0.750 0.000
0.201 0.100 0.401
0.799 0.400 0.599
0.201 0.600 0.401
0.799 0.900 0.599
0.913 0.750 0.000
0.087 0.250 0.000
0.649 0.575 0.298
0.649 0.075 0.298
0.351 0.925 0.702
0.351 0.425 0.702
```